1.
A relaxed structure of La2AsPtBr, computed with PBE.

a = 5.7147 Å, b = 5.7147 Å, c = 5.0810 Å
α = 90.00°, β = 90.00°, γ = 90.00°
Fractional positions:
La (0.0000, 0.5000, 0.0000)
La (0.5000, 0.0000, 0.0000)
As (0.0000, 0.0000, 0.0000)
Pt (0.5000, 0.5000, 0.5000)
Br (0.0000, 0.0000, 0.5000)

Properties
raw formation energy: -0.233 eV/atom
uncorrected energy: -4.68 eV per atom
space-group type: P4/mmm (123)

=====

2.
A relaxed structure of LaAsPtBr2, computed with PBE.

a = 5.0504 Å, b = 5.0504 Å, c = 5.1808 Å
α = 90.00°, β = 90.00°, γ = 90.00°
Fractional positions:
La (0.0000, 0.0000, 0.0000)
As (0.5000, 0.5000, 0.0000)
Pt (0.5000, 0.5000, 0.5000)
Br (0.0000, 0.5000, 0.5000)
Br (0.5000, 0.0000, 0.5000)

Properties
raw formation energy: -0.509 eV/atom
uncorrected energy: -4.30 eV per atom
space-group type: P4/mmm (123)

=====

3.
A relaxed structure of La4AsPtBr2, computed with PBE.

a = 7.6946 Å, b = 4.2293 Å, c = 7.7653 Å
α = 90.00°, β = 108.23°, γ = 90.00°
Fractional positions:
La (0.2119, 0.0000, 0.2255)
La (0.2252, 0.5000, 0.7394)
La (0.7748, 0.5000, 0.2606)
La (0.7881, 0.0000, 0.7745)
As (0.0000, 0.0000, 0.5000)
Pt (0.0000, 0.5000, 0.0000)
Br (0.5000, 0.0000, 0.0000)
Br (0.5000, 0.5000, 0.5000)

Properties
raw formation energy: -1.407 eV/atom
uncorrected energy: -5.63 eV per atom
space-group type: P2/m (10)

=====

4.
A relaxed structure of La6As2PtBr3, computed with PBE.

a = 9.8969 Å, b = 9.8969 Å, c = 9.0084 Å
α = 103.14°, β = 103.14°, γ = 24.80°
Fractional positions:
La (0.0062, 0.0062, 0.2192)
La (0.3258, 0.3258, 0.4328)
La (0.3356, 0.3356, 0.9004)
La (0.6644, 0.6644, 0.0996)
La (0.6742, 0.6742, 0.5672)
La (0.9938, 0.9938, 0.7808)
As (0.1668, 0.1668, 0.3334)
As (0.8332, 0.8332, 0.6666)
Pt (0.5000, 0.5000, 0.0000)
Br (0.1647, 0.1647, 0.8278)
Br (0.5000, 0.5000, 0.5000)
Br (0.8353, 0.8353, 0.1722)

Properties
raw formation energy: -1.452 eV/atom
uncorrected energy: -5.61 eV per atom
space-group type: C2/m (12)